(1)
Material: PaIn5Cu
Method: DFT, PBE
State: relaxed

Cell: 4.702 4.702 7.528 Å, 90.00 90.00 90.00°
Space group P4/mmm (No. 123)
One atom of each set of equivalent atoms:
Pa 0.000 0.000 0.000 x1
In 0.000 0.500 0.299 x4
In 0.500 0.500 0.000 x1
Cu 0.000 0.000 0.500 x1

Values from the calculation:
The calculation puts the uncorrected energy at -3.96 eV per atom. The calculation puts the formation energy from the elements at -60 meV/atom. The value obtained for the total magnetization is 0.7 Bohr magnetons per cell.

(2)
Material: Fe2SiW
Method: DFT, PBE
State: relaxed

Cell: 5.862 5.862 5.862 Å, 90.00 90.00 90.00°
Space group F-43m (No. 216)
One atom of each set of equivalent atoms:
Fe 0.000 0.000 0.000 x4
Fe 0.250 0.250 0.250 x4
Si 0.000 0.000 0.500 x4
W 0.250 0.250 0.750 x4

Values from the calculation:
The calculation puts the uncorrected energy at -8.88 eV per atom. The value obtained for the total magnetization is 13.2 Bohr magnetons per cell.

(3)
Material: BeIr2Se
Method: DFT, PBE
State: relaxed

Cell: 7.968 2.953 5.192 Å, 90.00 104.62 90.00°
Space group Cm (No. 8)
One atom of each set of equivalent atoms:
Be 0.000 0.000 0.000 x2
Ir 0.210 0.500 0.960 x2
Ir 0.482 0.000 0.329 x2
Se 0.227 0.000 0.574 x2

Values from the calculation:
The calculation puts the uncorrected energy at -6.16 eV per atom. The value obtained for the total magnetization is 0.0 Bohr magnetons per cell.

(4)
Material: Zn2RePb
Method: DFT, PBE
State: relaxed

Cell: 3.0265 3.0265 28.4223 Å, 90.00 90.00 120.00°
Space group R-3m (No. 166, hexagonal axes)
One atom of each set of equivalent atoms:
Zn 0.0000 0.0000 0.2380 x6
Re 0.0000 0.0000 0.5000 x3
Pb 0.0000 0.0000 0.0000 x3

Values from the calculation:
The calculation puts the uncorrected energy at -4.17 eV per atom. The calculation puts the formation energy from the elements at 505 meV/atom. The value obtained for the total magnetization is 1.4 Bohr magnetons per cell.

(5)
Material: Tm2BeCu
Method: DFT, PBE
State: relaxed

Cell: 3.382 3.382 6.792 Å, 90.00 90.00 90.00°
Space group P4/mmm (No. 123)
One atom of each set of equivalent atoms:
Tm 0.000 0.000 0.245 x2
Be 0.500 0.500 0.000 x1
Cu 0.500 0.500 0.500 x1

Values from the calculation:
The calculation puts the uncorrected energy at -4.30 eV per atom. The calculation puts the formation energy from the elements at -112 meV/atom. The value obtained for the total magnetization is 0.0 Bohr magnetons per cell.

(6)
Material: CaPuMg2Au4
Method: DFT, PBE
State: relaxed

Cell: 5.0010 5.0010 24.0175 Å, 90.00 90.00 120.00°
Space group R-3m (No. 166, hexagonal axes)
One atom of each set of equivalent atoms:
Ca 0.0000 0.0000 0.0000 x3
Pu 0.0000 0.0000 0.5000 x3
Mg 0.0000 0.0000 0.2504 x6
Au 0.0000 0.0000 0.1268 x6
Au 0.0000 0.0000 0.3737 x6

Values from the calculation:
The calculation puts the uncorrected energy at -4.65 eV per atom. The calculation puts the formation energy from the elements at -570 meV/atom. The value obtained for the total magnetization is 17.2 Bohr magnetons per cell.

(7)
Material: SrNiTe4
Method: DFT, PBE
State: relaxed

Cell: 9.043 9.043 9.043 Å, 90.00 90.00 90.00°
Space group F-43m (No. 216)
One atom of each set of equivalent atoms:
Sr 0.000 0.000 0.000 x4
Ni 0.250 0.250 0.250 x4
Te 0.124 0.124 0.624 x16

Values from the calculation:
The calculation puts the uncorrected energy at -3.10 eV per atom. The value obtained for the total magnetization is 4.4 Bohr magnetons per cell.

(8)
Material: FeAsP
Method: DFT, PBE
State: relaxed

Cell: 6.539 5.003 5.576 Å, 90.00 90.00 90.00°
Space group Pmna (No. 53)
One atom of each set of equivalent atoms:
Fe 0.196 0.000 0.000 x4
As 0.000 0.208 0.341 x4
P 0.000 0.333 0.867 x4

Values from the calculation:
The calculation puts the uncorrected energy at -6.15 eV per atom. The calculation puts the formation energy from the elements at 22 meV/atom. The value obtained for the total magnetization is 0.0 Bohr magnetons per cell.

(9)
Material: Th2AlW
Method: DFT, PBE
State: relaxed

Cell: 3.2228 3.2228 32.8603 Å, 90.00 90.00 120.00°
Space group R-3m (No. 166, hexagonal axes)
One atom of each set of equivalent atoms:
Th 0.0000 0.0000 0.0862 x6
Al 0.0000 0.0000 0.5000 x3
W 0.0000 0.0000 0.0000 x3

Values from the calculation:
The calculation puts the uncorrected energy at -7.17 eV per atom. The calculation puts the formation energy from the elements at 714 meV/atom. The value obtained for the total magnetization is 0.0 Bohr magnetons per cell.

(10)
Material: CdWBr
Method: DFT, PBE
State: relaxed

Cell: 3.0893 3.0893 8.2155 Å, 90.00 90.00 120.00°
Space group P3m1 (No. 156)
One atom of each set of equivalent atoms:
Cd 0.0000 0.0000 0.0000 x1
W 0.3333 0.6667 0.2916 x1
Br 0.6667 0.3333 0.5203 x1

Values from the calculation:
The calculation puts the uncorrected energy at -4.67 eV per atom. The value obtained for the total magnetization is 0.0 Bohr magnetons per cell.

(11)
Material: Ga12Hg3Br5
Method: DFT, PBE
State: relaxed

Cell: 17.019 17.019 17.019 Å, 90.00 90.00 90.00°
Space group Ia-3d (No. 230)
One atom of each set of equivalent atoms:
Ga 0.000 0.077 0.160 x96
Hg 0.000 0.250 0.125 x24
Br 0.000 0.000 0.000 x16
Br 0.000 0.250 0.375 x24

Values from the calculation:
The calculation puts the uncorrected energy at -2.25 eV per atom. The value obtained for the total magnetization is 0.0 Bohr magnetons per cell.

(12)
Material: La2TmHg2
Method: DFT, PBE
State: relaxed

Cell: 7.937 7.937 4.868 Å, 90.00 90.00 90.00°
Space group P4/mbm (No. 127)
One atom of each set of equivalent atoms:
La 0.164 0.336 0.000 x4
Tm 0.000 0.000 0.500 x2
Hg 0.137 0.637 0.500 x4

Values from the calculation:
The calculation puts the uncorrected energy at -3.33 eV per atom. The calculation puts the formation energy from the elements at -349 meV/atom. The value obtained for the total magnetization is 0.0 Bohr magnetons per cell.